Entry 1:
Sm2ErIr: relaxed, GGA-PBE.

Calculated values
Excess energy over the best structure of this formula in the dataset = 100 meV/atom
Crystal system = orthorhombic
DOS(E_F) = 13.7 states/eV per cell
Magnetic moment = 0.0 μB/f.u.
Formation energy = -9.8 kcal/mol of atoms

abc: 6.8043 6.3572 11.5344
angles: 90.00 90.00 90.00
Space group Pnna (No. 52)
One atom of each set of equivalent atoms:
Sm (0.0885, 0.2476, 0.0867) x8
Er (0.0686, 0.2500, 0.7500) x4
Ir (0.2500, 0.0000, 0.9085) x4



Entry 2:
AgP2Se: relaxed, GGA-PBE.

Calculated values
Formation energy from raw total energies = 0.59 eV per atom
Crystal system = orthorhombic
DOS(E_F) = 4.3 states/eV per cell
Magnetic moment = 0.0 μB/f.u.

abc: 3.5216 4.1729 9.8848
angles: 90.00 90.00 90.00
Space group Immm (No. 71)
One atom of each set of equivalent atoms:
Ag (0.0000, 0.0000, 0.0000) x2
P (0.0000, 0.5000, 0.2143) x4
Se (0.0000, 0.0000, 0.5000) x2



Entry 3:
Sm3Dy6Ho2Tl: relaxed, GGA-PBE.

Calculated values
Crystal system = monoclinic
DOS(E_F) = 32.8 states/eV per cell
Magnetic moment = 0.0 μB/f.u.
Formation energy = -0.3 kcal/mol of atoms

abc: 6.1270 10.6275 11.6529
angles: 90.00 100.22 90.00
Space group C2/m (No. 12)
One atom of each set of equivalent atoms:
Sm (0.0000, 0.0000, 0.0000) x2
Sm (0.0000, 0.3329, 0.0000) x4
Dy (0.2450, 0.3357, 0.7446) x8
Dy (0.2480, 0.5000, 0.2538) x4
Ho (0.0000, 0.1660, 0.5000) x4
Tl (0.0000, 0.5000, 0.5000) x2



Question: The lowest DOS(E_F) belongs to which entry?
Answer: AgP2Se



Repeat the first record exactly.
Sm2ErIr: relaxed, GGA-PBE.

Calculated values
Excess energy over the best structure of this formula in the dataset = 100 meV/atom
Crystal system = orthorhombic
DOS(E_F) = 13.7 states/eV per cell
Magnetic moment = 0.0 μB/f.u.
Formation energy = -9.8 kcal/mol of atoms

abc: 6.8043 6.3572 11.5344
angles: 90.00 90.00 90.00
Space group Pnna (No. 52)
One atom of each set of equivalent atoms:
Sm (0.0885, 0.2476, 0.0867) x8
Er (0.0686, 0.2500, 0.7500) x4
Ir (0.2500, 0.0000, 0.9085) x4